Entry 1:
12
Lattice="6.288 0.207 0.000 -0.038 6.291 0.000 -3.125 -3.249 7.558" Properties=species:S:1:pos:R:3 comment="PBE Ac2Ge3Rh, optimized geometry" formation_energy_mev_per_atom=-823 pbc="T T T"
Ac -0.019 3.146 3.779
Ac 4.661 4.845 0.000
Ac 3.144 0.103 3.779
Ac 1.590 1.653 0.000
Ge 1.556 4.758 1.280
Ge -1.569 1.509 6.278
Ge 1.569 -1.509 6.278
Ge 4.694 1.740 1.280
Ge 0.000 0.000 2.556
Ge 3.125 3.249 5.001
Rh 3.125 3.249 2.503
Rh 0.000 0.000 5.054

---

Entry 2:
4
Lattice="-0.183 2.548 4.735 -4.674 1.929 1.838 -2.398 -2.327 4.217" Properties=species:S:1:pos:R:3 comment="PBE TbPmScTl, optimized geometry" formation_energy_mev_per_atom=-4 pbc="T T T"
Sc 0.000 0.000 0.000
Tl -1.814 0.538 2.697
Tb -3.627 1.075 5.395
Pm -5.441 1.613 8.092

---

Entry 3:
4
Lattice="-5.640 -0.884 2.128 -2.397 -1.047 5.502 4.029 3.233 -3.230" Properties=species:S:1:pos:R:3 comment="PBE Be2CuTe, optimized geometry" raw_formation_energy_mev_per_atom=444 pbc="T T T"
Be -7.838 -1.884 7.441
Be -3.477 0.532 1.986
Te -0.829 0.697 2.698
Cu -3.919 -0.942 3.720

---

Entry 4:
4
Lattice="-4.438 -4.274 0.959 1.391 -5.343 2.899 -2.114 -1.059 5.770" Properties=species:S:1:pos:R:3 comment="PBE Sr2CaDy, optimized geometry" formation_energy_mev_per_atom=176 pbc="T T T"
Sr -1.290 -2.669 2.407
Sr -3.871 -8.007 7.220
Ca -2.581 -5.338 4.813
Dy 0.000 0.000 0.000

---

Entry 5:
6
Lattice="-3.187 -4.119 -1.122 3.347 -2.336 -0.929 2.046 -3.238 6.080" Properties=species:S:1:pos:R:3 comment="PBE CaAuCl, optimized geometry" raw_formation_energy_mev_per_atom=-1415 pbc="T T T"
Cl 1.165 -6.579 1.875
Cl 1.042 -3.115 2.154
Au 2.558 -3.408 -1.077
Au -0.351 -6.286 5.106
Ca 2.820 -4.865 3.531
Ca -0.614 -4.828 0.498

---

Entry 6:
12
Lattice="5.474 0.000 0.010 0.000 4.550 0.000 -5.432 0.000 7.812" Properties=species:S:1:pos:R:3 comment="PBE NbTcW, optimized geometry" formation_energy_mev_per_atom=-88 pbc="T T T"
Nb 3.646 0.000 1.298
Nb -3.604 0.000 6.524
Nb 0.930 2.275 5.204
Nb -0.888 2.275 2.618
Tc 0.909 0.000 1.290
Tc -0.867 0.000 6.532
Tc -1.807 2.275 5.196
Tc 1.849 2.275 2.626
W 0.000 2.275 0.000
W -2.716 0.000 3.906
W 0.021 0.000 3.911
W 2.737 2.275 0.005